Computed, not measured: a relaxed Ba2Na3HgBi4 crystal at the PBE level of DFT.

N(E_F) in states/eV/cell: 1.92
Energy of formation from the pure elements in eV per atom: -0.489
Total moment in μB per formula unit: 0.00

Cell and atoms, written as POSCAR:
```
Ba2Na3HgBi4
1.0
5.111 0.000 0.000
0.000 5.111 0.000
0.000 0.000 13.020
Ba Na Hg Bi
2 3 1 4
direct
0.000 0.500 0.246
0.500 0.000 0.754
0.000 0.500 0.867
0.500 0.000 0.133
0.500 0.500 0.500
0.000 0.000 0.500
0.000 0.000 0.000
0.000 0.500 0.639
0.500 0.000 0.361
0.500 0.500 0.000
```